Entry from OQMD via LeMat-Bulk: a geometry-optimized Nd2Hg3I structure (PBE).

Lattice parameters (Å, degrees): 3.6097 5.1165 9.0078 90.00 90.01 90.00
Element x y z (fractional)
Hg 0.5021 0.0000 0.6774
Hg 0.4981 0.5000 0.8133
Hg 0.4973 0.0000 0.3561
I 0.5019 0.5000 0.1515
Nd 0.0008 0.0000 0.9968
Nd 0.9998 0.5000 0.5048

Total magnetization   0.004 μB per cell
Uncorrected energy   -2.372 eV/atom

---

Entry from OQMD via LeMat-Bulk: a geometry-optimized NdHgI structure (PBE).

Lattice parameters (Å, degrees): 3.6252 5.6455 8.8524 90.00 90.20 90.00
Element x y z (fractional)
Hg 0.4970 0.5000 0.1612
Hg 0.5030 0.5000 0.8388
I 0.5030 0.0000 0.3104
I 0.4970 0.0000 0.6896
Nd 0.0000 0.5000 0.5000
Nd 0.0000 0.0000 0.0000

Total magnetization   0.008 μB per cell
Uncorrected energy   -2.606 eV/atom

---

Entry from OQMD via LeMat-Bulk: a geometry-optimized Nd2HgI3 structure (PBE).

Lattice parameters (Å, degrees): 3.9045 5.5749 9.3426 90.00 102.05 90.00
Element x y z (fractional)
I 0.4321 0.5000 0.1181
I 0.2836 0.0000 0.8121
I 0.5683 0.0000 0.3813
Nd 0.0725 0.5000 0.4020
Nd 0.9235 0.0000 0.0934
Hg 0.7201 0.5000 0.6930

Total magnetization   0.007 μB per cell
Uncorrected energy   -3.261 eV/atom

---

Entry from OQMD via LeMat-Bulk: a geometry-optimized NdHg3Se4I structure (PBE).

Lattice parameters (Å, degrees): 8.1127 8.1127 9.1673 90.00 90.00 120.00
Element x y z (fractional)
Se 0.1441 0.8559 0.8617
Se 0.6667 0.3333 0.6163
Se 0.3333 0.6667 0.1163
Se 0.8559 0.1441 0.3617
Se 0.1441 0.2882 0.8617
Se 0.8559 0.7118 0.3617
Se 0.7118 0.8559 0.8617
Se 0.2882 0.1441 0.3617
Hg 0.5085 0.0169 0.7724
Hg 0.9831 0.4915 0.7724
Hg 0.5085 0.4915 0.7724
Hg 0.4915 0.9831 0.2724
Hg 0.4915 0.5085 0.2724
Hg 0.0169 0.5085 0.2724
I 0.3333 0.6667 0.5423
I 0.6667 0.3333 0.0423
Nd 0.0000 0.0000 0.6238
Nd 0.0000 0.0000 0.1238

Total magnetization   0.003 μB per cell
Uncorrected energy   -2.913 eV/atom

---

Entry from OQMD via LeMat-Bulk: a geometry-optimized HgSbIO2 structure (PBE).

Lattice parameters (Å, degrees): 6.8770 4.1099 7.7415 90.00 103.30 90.00
Element x y z (fractional)
Hg 0.1908 0.7500 0.4350
Hg 0.8092 0.2500 0.5650
O 0.0491 0.2500 0.9268
O 0.9728 0.7500 0.6548
O 0.0272 0.2500 0.3452
O 0.9509 0.7500 0.0732
I 0.5419 0.7500 0.2859
I 0.4581 0.2500 0.7141
Sb 0.1467 0.7500 0.9048
Sb 0.8533 0.2500 0.0952

Uncorrected energy   -3.928 eV/atom

---

Entry from OQMD via LeMat-Bulk: a geometry-optimized Hg2PbS2I2 structure (PBE).

Lattice parameters (Å, degrees): 13.8367 13.8367 4.6664 90.00 90.00 90.00
Element x y z (fractional)
S 0.2629 0.4267 0.0000
S 0.4267 0.7371 0.0000
S 0.0733 0.2371 0.0000
S 0.5733 0.2629 0.0000
S 0.9267 0.7629 0.0000
S 0.7629 0.0733 0.0000
S 0.7371 0.5733 0.0000
S 0.2371 0.9267 0.0000
Hg 0.1665 0.0874 0.0000
Hg 0.8335 0.9126 0.0000
Hg 0.4126 0.3335 0.0000
Hg 0.3335 0.5874 0.0000
Hg 0.0874 0.8335 0.0000
Hg 0.9126 0.1665 0.0000
Hg 0.6665 0.4126 0.0000
Hg 0.5874 0.6665 0.0000
I 0.5000 0.0000 0.0000
I 0.8036 0.3036 0.5000
I 0.3036 0.1964 0.5000
I 0.1964 0.6964 0.5000
I 0.5000 0.5000 0.5000
I 0.6964 0.8036 0.5000
I 0.0000 0.5000 0.0000
I 0.0000 0.0000 0.5000
Pb 0.6358 0.1358 0.5000
Pb 0.1358 0.3642 0.5000
Pb 0.3642 0.8642 0.5000
Pb 0.8642 0.6358 0.5000

Uncorrected energy   -2.572 eV/atom

---

Entry from OQMD via LeMat-Bulk: a geometry-optimized Hg3Se2I2 structure (PBE).

Lattice parameters (Å, degrees): 9.7173 10.9114 11.0708 113.39 90.00 116.44
Element x y z (fractional)
Hg 0.8204 0.1555 0.3055
Hg 0.7786 0.5572 0.7258
Hg 0.6649 0.8445 0.6945
Hg 0.8580 0.2463 0.0002
Hg 0.2214 0.4428 0.2742
Hg 0.3883 0.2463 0.0002
Hg 0.1796 0.8445 0.6945
Hg 0.9196 0.8392 0.2699
Hg 0.1420 0.7537 0.9998
Hg 0.6117 0.7537 0.9998
Hg 0.0804 0.1608 0.7301
Hg 0.3351 0.1555 0.3055
Se 0.4576 0.3912 0.2576
Se 0.1964 0.8706 0.2576
Se 0.9336 0.3912 0.2576
Se 0.5424 0.6088 0.7424
Se 0.0664 0.6088 0.7424
Se 0.8036 0.1294 0.7424
Se 0.3258 0.1294 0.7424
Se 0.6742 0.8706 0.2576
I 0.1314 0.2628 0.5012
I 0.8686 0.7372 0.4988
I 0.5000 0.0000 0.0000
I 0.2490 0.4980 0.0017
I 0.7510 0.5020 0.9983
I 0.0000 0.0000 0.0000
I 0.3843 0.7686 0.4929
I 0.6157 0.2314 0.5071

Uncorrected energy   -1.816 eV/atom

---

Entry from OQMD via LeMat-Bulk: a geometry-optimized Hg3Se2I2 structure (PBE).

Lattice parameters (Å, degrees): 8.4684 8.4684 8.4684 109.47 109.47 109.47
Element x y z (fractional)
I 0.5000 0.0000 0.4941
I 0.4941 0.5000 0.0000
I 0.0000 0.4941 0.5000
I 0.0059 0.0059 0.0059
Se 0.5000 0.0000 0.9782
Se 0.9782 0.5000 0.0000
Se 0.5218 0.5218 0.5218
Se 0.0000 0.9782 0.5000
Hg 0.9511 0.2011 0.7500
Hg 0.5489 0.2989 0.2500
Hg 0.2500 0.5489 0.2989
Hg 0.2989 0.2500 0.5489
Hg 0.7500 0.9511 0.2011
Hg 0.2011 0.7500 0.9511

Uncorrected energy   -1.815 eV/atom

---

Entry from OQMD via LeMat-Bulk: a geometry-optimized Hg3Te2I2 structure (PBE).

Lattice parameters (Å, degrees): 8.7235 8.7235 8.7235 109.47 109.47 109.47
Element x y z (fractional)
I 0.0000 0.0132 0.5000
I 0.4868 0.4868 0.4868
I 0.5000 0.0000 0.0132
I 0.0132 0.5000 0.0000
Hg 0.2500 0.1921 0.9421
Hg 0.9421 0.2500 0.1921
Hg 0.5579 0.7500 0.3079
Hg 0.1921 0.9421 0.2500
Hg 0.7500 0.3079 0.5579
Hg 0.3079 0.5579 0.7500
Te 0.5378 0.5000 0.0000
Te 0.5000 0.0000 0.5378
Te 0.0000 0.5378 0.5000
Te 0.9622 0.9622 0.9622

Uncorrected energy   -1.697 eV/atom

---

Entry from OQMD via LeMat-Bulk: a geometry-optimized Tl2HgI4 structure (PBE).

Lattice parameters (Å, degrees): 7.9653 8.3019 9.4472 90.00 107.67 90.00
Element x y z (fractional)
I 0.0655 0.0804 0.8977
I 0.4868 0.7407 0.2498
I 0.0654 0.0683 0.3880
I 0.9346 0.5683 0.6120
I 0.4563 0.7664 0.7315
I 0.9345 0.5804 0.1023
I 0.5132 0.2407 0.7502
I 0.5437 0.2664 0.2685
Tl 0.7293 0.9785 0.0563
Tl 0.7393 0.9588 0.5628
Tl 0.2707 0.4785 0.9437
Tl 0.2607 0.4588 0.4372
Hg 0.2734 0.0196 0.1951
Hg 0.7266 0.5196 0.8049

Uncorrected energy   -2.102 eV/atom

---

Entry from OQMD via LeMat-Bulk: a geometry-optimized TlHgI6 structure (PBE).

Lattice parameters (Å, degrees): 6.8428 7.1612 8.6754 68.10 70.15 74.97
Element x y z (fractional)
I 0.8845 0.5301 0.2732
I 0.7279 0.0165 0.7615
I 0.4504 0.7715 0.7472
I 0.2718 0.9829 0.2387
I 0.5495 0.2286 0.2528
I 0.1161 0.4702 0.7270
Tl 0.0000 0.0000 0.0000
Hg 0.5000 0.5000 0.4996

Uncorrected energy   -1.621 eV/atom

---

Entry from OQMD via LeMat-Bulk: a geometry-optimized Zn2HgI4 structure (PBE).

Lattice parameters (Å, degrees): 6.7990 6.7990 6.7990 109.42 109.42 109.57
Element x y z (fractional)
I 0.2602 0.7398 0.0000
I 0.2602 0.2602 0.5204
I 0.7398 0.7398 0.4796
I 0.7398 0.2602 0.0000
Zn 0.7500 0.2500 0.5000
Zn 0.2500 0.7500 0.5000
Hg 0.0000 0.0000 0.0000

Uncorrected energy   -1.192 eV/atom

---

Entry from OQMD via LeMat-Bulk: a geometry-optimized InHg structure (PBE).

Lattice parameters (Å, degrees): 4.5168 4.5168 6.3115 90.00 90.00 120.00
Element x y z (fractional)
In 0.0000 0.0000 0.0000
In 0.0000 0.0000 0.5000
Hg 0.3333 0.6667 0.2500
Hg 0.6667 0.3333 0.7500

Uncorrected energy   -1.457 eV/atom

---

Entry from OQMD via LeMat-Bulk: a geometry-optimized InHg structure (PBE).

Lattice parameters (Å, degrees): 4.5068 4.5068 6.3111 90.00 90.00 120.00
Element x y z (fractional)
In 0.6667 0.3333 0.7500
In 0.3333 0.6667 0.2500
Hg 0.0000 0.0000 0.0000
Hg 0.0000 0.0000 0.5000

Uncorrected energy   -1.460 eV/atom

---

Entry from OQMD via LeMat-Bulk: a geometry-optimized In3HgIr structure (PBE).

Lattice parameters (Å, degrees): 5.2064 5.2064 5.2064 90.00 90.00 90.00
Element x y z (fractional)
In 0.5000 0.5000 0.0000
In 0.5000 0.0000 0.5000
In 0.0000 0.5000 0.5000
Ir 0.5000 0.5000 0.5000
Hg 0.0000 0.0000 0.0000

Total magnetization   0.002 μB per cell
Uncorrected energy   -3.610 eV/atom

---

Entry from OQMD via LeMat-Bulk: a geometry-optimized In2HgIr structure (PBE).

Lattice parameters (Å, degrees): 4.8691 4.8691 4.8691 60.00 60.00 60.00
Element x y z (fractional)
Ir 0.7500 0.7500 0.7500
Hg 0.5000 0.5000 0.5000
In 0.2500 0.2500 0.2500
In 0.0000 0.0000 0.0000

Total magnetization   0.000 μB per cell
Uncorrected energy   -3.284 eV/atom

---

Entry from OQMD via LeMat-Bulk: a geometry-optimized InHgIr structure (PBE).

Lattice parameters (Å, degrees): 4.5437 4.5437 4.5437 60.00 60.00 60.00
Element x y z (fractional)
Hg 0.2500 0.2500 0.2500
Ir 0.0000 0.0000 0.0000
In 0.7500 0.7500 0.7500

Total magnetization   0.004 μB per cell
Uncorrected energy   -3.815 eV/atom

---

Entry from OQMD via LeMat-Bulk: a geometry-optimized Li2In2Hg2IrPt structure (PBE).

Lattice parameters (Å, degrees): 4.6459 4.6459 6.5704 90.00 90.00 90.00
Element x y z (fractional)
Pt 0.5000 0.5000 0.5000
In 0.5000 0.0000 0.2452
In 0.0000 0.5000 0.7548
Hg 0.5000 0.0000 0.7520
Hg 0.0000 0.5000 0.2480
Li 0.5000 0.5000 0.0000
Li 0.0000 0.0000 0.5000
Ir 0.0000 0.0000 0.0000

Total magnetization   0.001 μB per cell
Uncorrected energy   -3.378 eV/atom

---

Entry from OQMD via LeMat-Bulk: a geometry-optimized InHg3IrS4 structure (PBE).

Lattice parameters (Å, degrees): 6.0750 6.0750 6.0750 90.00 90.00 90.00
Element x y z (fractional)
Hg 0.5000 0.0000 0.5000
Hg 0.5000 0.5000 0.0000
Hg 0.0000 0.5000 0.5000
S 0.7527 0.7527 0.2473
S 0.2473 0.2473 0.2473
S 0.7527 0.2473 0.7527
S 0.2473 0.7527 0.7527
Ir 0.5000 0.5000 0.5000
In 0.0000 0.0000 0.0000

Total magnetization   0.278 μB per cell
Uncorrected energy   -2.946 eV/atom

---

Entry from OQMD via LeMat-Bulk: a geometry-optimized InHg3IrSe4 structure (PBE).

Lattice parameters (Å, degrees): 6.3217 6.3217 6.3217 90.00 90.00 90.00
Element x y z (fractional)
Se 0.2510 0.2510 0.2510
Se 0.2510 0.7490 0.7490
Se 0.7490 0.7490 0.2510
Se 0.7490 0.2510 0.7490
Hg 0.0000 0.5000 0.5000
Hg 0.5000 0.0000 0.5000
Hg 0.5000 0.5000 0.0000
Ir 0.5000 0.5000 0.5000
In 0.0000 0.0000 0.0000

Total magnetization   0.189 μB per cell
Uncorrected energy   -2.716 eV/atom